--- one ---
CsBe2Cd2As3 | GGA-PBE | relaxed

Properties
Its space group is Pmmm, No. 47.

Lattice parameters (Å, degrees): 4.062 4.432 10.959 90.00 90.00 90.00
Positions (direct):
Cs  0.000  0.000  0.000
Be  0.000  0.500  0.331
Be  0.000  0.500  0.669
Cd  0.500  0.000  0.344
Cd  0.500  0.000  0.656
As  0.000  0.000  0.500
As  0.500  0.500  0.216
As  0.500  0.500  0.784

=====

--- two ---
CsBe2Cd2As3 | GGA-PBE | relaxed

Properties
Its space group is P4mm, No. 99.

Lattice parameters (Å, degrees): 4.238 4.238 10.596 90.00 90.00 90.00
Positions (direct):
Cs  0.000  0.000  0.000
Be  0.000  0.500  0.674
Be  0.500  0.000  0.674
Cd  0.000  0.500  0.373
Cd  0.500  0.000  0.373
As  0.000  0.000  0.562
As  0.500  0.500  0.219
As  0.500  0.500  0.776

=====

--- three ---
CsBe2Cd2As3 | GGA-PBE | relaxed

Properties
Its space group is P-4m2, No. 115.

Lattice parameters (Å, degrees): 4.224 4.224 10.952 90.00 90.00 90.00
Positions (direct):
Cs  0.000  0.000  0.000
Be  0.000  0.500  0.673
Be  0.500  0.000  0.327
Cd  0.000  0.500  0.354
Cd  0.500  0.000  0.646
As  0.000  0.000  0.500
As  0.500  0.500  0.214
As  0.500  0.500  0.786

=====

List of relative energies, unit meV per atom: one 89; two 0; three 100

=====

--- one ---
BeCoAs | GGA-PBE | relaxed

Properties
Its space group is F-43m, No. 216.

Lattice parameters (Å, degrees): 3.796 3.796 3.796 60.00 60.00 60.00
Positions (direct):
Be  0.000  0.000  0.000
Co  0.500  0.500  0.500
As  0.250  0.250  0.250

=====

--- two ---
BeCoAs | GGA-PBE | relaxed

Properties
Its space group is F-43m, No. 216.

Lattice parameters (Å, degrees): 3.765 3.765 3.765 60.00 60.00 60.00
Positions (direct):
Be  0.000  0.000  0.000
Co  0.750  0.750  0.750
As  0.500  0.500  0.500

=====

List of relative energies, unit meV per atom: one 197; two 0

=====

--- one ---
HfBeCoAs | GGA-PBE | relaxed

Properties
Its space group is F-43m, No. 216.

Lattice parameters (Å, degrees): 4.288 4.288 4.288 60.00 60.00 60.00
Positions (direct):
Hf  0.000  0.000  0.000
Be  0.250  0.250  0.250
Co  0.750  0.750  0.750
As  0.500  0.500  0.500

=====

--- two ---
HfBeCoAs | GGA-PBE | relaxed

Properties
Its space group is F-43m, No. 216.

Lattice parameters (Å, degrees): 4.295 4.295 4.295 60.00 60.00 60.00
Positions (direct):
Hf  0.000  0.000  0.000
Be  0.750  0.750  0.750
Co  0.500  0.500  0.500
As  0.250  0.250  0.250

=====

List of relative energies, unit meV per atom: one 0; two 27

=====

--- one ---
MgBeCoAs | GGA-PBE | relaxed

Properties
Its space group is F-43m, No. 216.

Lattice parameters (Å, degrees): 4.171 4.171 4.171 60.00 60.00 60.00
Positions (direct):
Mg  0.000  0.000  0.000
Be  0.750  0.750  0.750
Co  0.500  0.500  0.500
As  0.250  0.250  0.250

=====

--- two ---
MgBeCoAs | GGA-PBE | relaxed

Properties
Its space group is F-43m, No. 216.

Lattice parameters (Å, degrees): 4.184 4.184 4.184 60.00 60.00 60.00
Positions (direct):
Mg  0.000  0.000  0.000
Be  0.250  0.250  0.250
Co  0.750  0.750  0.750
As  0.500  0.500  0.500

=====

List of relative energies, unit meV per atom: one 0; two 98

=====

--- one ---
BeNbCoAs | GGA-PBE | relaxed

Properties
Its space group is F-43m, No. 216.

Lattice parameters (Å, degrees): 4.223 4.223 4.223 60.00 60.00 60.00
Positions (direct):
Be  0.000  0.000  0.000
Nb  0.750  0.750  0.750
Co  0.500  0.500  0.500
As  0.250  0.250  0.250

=====

--- two ---
BeNbCoAs | GGA-PBE | relaxed

Properties
Its space group is F-43m, No. 216.

Lattice parameters (Å, degrees): 4.205 4.205 4.205 60.00 60.00 60.00
Positions (direct):
Be  0.000  0.000  0.000
Nb  0.250  0.250  0.250
Co  0.750  0.750  0.750
As  0.500  0.500  0.500

=====

List of relative energies, unit meV per atom: one 152; two 0

=====

--- one ---
BeCoNiAs | GGA-PBE | relaxed

Properties
Its space group is F-43m, No. 216.

Lattice parameters (Å, degrees): 3.927 3.927 3.927 60.00 60.00 60.00
Positions (direct):
Be  0.000  0.000  0.000
Co  0.750  0.750  0.750
Ni  0.250  0.250  0.250
As  0.500  0.500  0.500

=====

--- two ---
BeCoNiAs | GGA-PBE | relaxed

Properties
Its space group is F-43m, No. 216.

Lattice parameters (Å, degrees): 3.971 3.971 3.971 60.00 60.00 60.00
Positions (direct):
Be  0.000  0.000  0.000
Co  0.500  0.500  0.500
Ni  0.250  0.250  0.250
As  0.750  0.750  0.750

=====

List of relative energies, unit meV per atom: one 0; two 213